The following is a DFT calculation (PBE) of a relaxed structure of TbEuGdTl.

Cell lengths 7.853, 7.853, 7.853 Å; angles 90.00, 90.00, 90.00 degrees
Space group F-43m (No. 216)
Inequivalent atoms, fractional coordinates:
Tb1 0.000 0.000 0.000 x4
Eu1 0.250 0.250 0.250 x4
Gd1 0.000 0.000 0.500 x4
Tl1 0.250 0.250 0.750 x4

Properties
The calculation puts the formation energy at -47 meV/atom.